No. 1
The following is a DFT calculation (GGA-PBE) of an optimized crystal structure of Mg2Be2Cr.

```
Mg2Be2Cr
1.0
-3.207 2.289 -5.678
-0.027 -6.415 -2.571
-2.505 -0.479 1.222
Cr Mg Be
2 4 4
direct
0.000 0.000 0.000 Cr
0.500 0.500 0.000 Cr
0.180 0.680 0.500 Mg
0.680 0.820 0.500 Mg
0.820 0.320 0.500 Mg
0.320 0.180 0.500 Mg
0.384 0.884 0.000 Be
0.884 0.616 0.000 Be
0.616 0.116 0.000 Be
0.116 0.384 0.000 Be
```

Properties
- magnetization (Bohr magnetons per cell) = 0.000
- calculated formation energy (eV per atom) = 0.55
- SG = P4/mbm, No. 127
- uncorrected energy (eV/atom) = -3.50

***

No. 2
The following is a DFT calculation (GGA-PBE) of an optimized crystal structure of Li2AlPb.

```
Li2AlPb
1.0
-7.501 6.170 -1.129
-8.298 3.940 -3.350
-9.126 3.503 -0.241
Al Li Pb
1 2 1
direct
0.741 0.741 0.741 Al
0.003 0.003 0.003 Li
0.253 0.253 0.253 Li
0.502 0.502 0.502 Pb
```

Properties
- magnetization (Bohr magnetons per cell) = 0.000
- calculated formation energy (eV per atom) = 0.05
- SG = R3m, No. 160
- uncorrected energy (eV/atom) = -2.77

***

No. 3
The following is a DFT calculation (GGA-PBE) of an optimized crystal structure of HoEr2Hg.

```
HoEr2Hg
1.0
3.564 0.000 0.000
0.000 3.564 0.000
0.000 0.000 8.869
Ho Hg Er
1 1 2
direct
0.500 0.500 0.500 Ho
0.500 0.500 0.000 Hg
0.000 0.000 0.776 Er
0.000 0.000 0.224 Er
```

Properties
- magnetization (Bohr magnetons per cell) = 0.000
- energy relative to the lowest polymorph listed for this composition (meV per atom) = 0
- calculated formation energy (eV per atom) = -0.23
- SG = P4/mmm, No. 123
- uncorrected energy (eV/atom) = -3.73

***

No. 4
The following is a DFT calculation (GGA-PBE) of an optimized crystal structure of NbSb2Pb.

```
NbSb2Pb
1.0
-1.118 -2.804 1.792
3.109 -1.555 -0.493
2.726 3.281 6.835
Pb Sb Nb
1 2 1
direct
0.500 0.500 0.500 Pb
0.000 0.000 0.802 Sb
0.000 0.000 0.198 Sb
0.500 0.500 0.000 Nb
```

Properties
- magnetization (Bohr magnetons per cell) = 0.000
- SG = P4/mmm, No. 123
- uncorrected energy (eV/atom) = -5.54